Entry 1:
The following is a DFT calculation (PBE-GGA) of crystalline AcCd2Pt2 at its relaxed geometry.

Cell: 4.240 4.240 6.512 Å, 90.00 90.00 90.00°
Sites, in units of the cell vectors:
Ac: 0.000 0.000 0.000
Cd: 0.000 0.500 0.500
Cd: 0.500 0.000 0.500
Pt: 0.500 0.500 0.204
Pt: 0.500 0.500 0.796

Results
size of the total moment = 0.0 Bohr magnetons per cell
ΔE to the lowest computed polymorph = 35 meV/atom
density of states at the Fermi level = 0.644 states/eV per atom

Entry 2:
The following is a DFT calculation (PBE-GGA) of crystalline AcCd2Pt4 at its relaxed geometry.

Cell: 5.745 5.745 5.745 Å, 103.66 103.66 121.84°
Sites, in units of the cell vectors:
Ac: 0.000 0.000 0.000
Cd: 0.250 0.750 0.500
Cd: 0.750 0.250 0.500
Pt: 0.305 0.305 0.610
Pt: 0.305 0.695 0.000
Pt: 0.695 0.305 0.000
Pt: 0.695 0.695 0.390

Results
size of the total moment = 0.0 Bohr magnetons per cell
density of states at the Fermi level = 0.313 states/eV per atom

Entry 3:
The following is a DFT calculation (PBE-GGA) of crystalline Ac2Cd2Pt3 at its relaxed geometry.

Cell: 8.272 8.272 12.894 Å, 122.37 122.37 30.14°
Sites, in units of the cell vectors:
Ac: 0.113 0.113 0.457
Ac: 0.231 0.231 0.831
Ac: 0.769 0.769 0.169
Ac: 0.887 0.887 0.543
Cd: 0.082 0.082 0.155
Cd: 0.452 0.452 0.179
Cd: 0.548 0.548 0.821
Cd: 0.918 0.918 0.845
Pt: 0.130 0.130 0.981
Pt: 0.334 0.334 0.674
Pt: 0.425 0.425 0.376
Pt: 0.575 0.575 0.624
Pt: 0.666 0.666 0.326
Pt: 0.870 0.870 0.019

Results
size of the total moment = 0.0 Bohr magnetons per cell
density of states at the Fermi level = 0.316 states/eV per atom

Entry 4:
The following is a DFT calculation (PBE-GGA) of crystalline AcCd8Pt4 at its relaxed geometry.

Cell: 7.442 7.442 7.442 Å, 98.54 98.54 134.68°
Sites, in units of the cell vectors:
Ac: 0.000 0.000 0.000
Cd: 0.000 0.345 0.345
Cd: 0.000 0.655 0.655
Cd: 0.279 0.500 0.779
Cd: 0.345 0.000 0.345
Cd: 0.500 0.279 0.779
Cd: 0.500 0.721 0.221
Cd: 0.655 0.000 0.655
Cd: 0.721 0.500 0.221
Pt: 0.000 0.000 0.500
Pt: 0.000 0.500 0.000
Pt: 0.500 0.000 0.000
Pt: 0.500 0.500 0.500

Results
size of the total moment = 0.0 Bohr magnetons per cell
density of states at the Fermi level = 0.613 states/eV per atom

Entry 5:
The following is a DFT calculation (PBE-GGA) of crystalline Ac8CdPt2 at its relaxed geometry.

Cell: 8.739 8.739 6.207 Å, 97.53 97.53 115.16°
Sites, in units of the cell vectors:
Ac: 0.082 0.338 0.585
Ac: 0.244 0.756 0.000
Ac: 0.338 0.082 0.585
Ac: 0.387 0.387 0.196
Ac: 0.613 0.613 0.804
Ac: 0.662 0.918 0.415
Ac: 0.756 0.244 0.000
Ac: 0.918 0.662 0.415
Cd: 0.000 0.000 0.000
Pt: 0.296 0.704 0.500
Pt: 0.704 0.296 0.500

Results
size of the total moment = 0.0 Bohr magnetons per cell
density of states at the Fermi level = 1.221 states/eV per atom

Entry 6:
The following is a DFT calculation (PBE-GGA) of crystalline AcCd4Pt at its relaxed geometry.

Cell: 8.655 4.473 7.685 Å, 90.00 90.00 90.00°
Sites, in units of the cell vectors:
Ac: 0.250 0.000 0.102
Ac: 0.750 0.000 0.898
Cd: 0.000 0.000 0.500
Cd: 0.054 0.500 0.803
Cd: 0.250 0.500 0.454
Cd: 0.446 0.500 0.803
Cd: 0.500 0.000 0.500
Cd: 0.554 0.500 0.197
Cd: 0.750 0.500 0.546
Cd: 0.946 0.500 0.197
Pt: 0.250 0.000 0.717
Pt: 0.750 0.000 0.283

Results
size of the total moment = 0.0 Bohr magnetons per cell
density of states at the Fermi level = 0.554 states/eV per atom

| no. | formation energy (meV per atom) |
| --- | --- |
| 1 | -693 |
| 2 | -576 |
| 3 | -761 |
| 4 | -376 |
| 5 | -377 |
| 6 | -407 |